# BaSr2Gd, relaxed, DFT PBE
data_BaSr2Gd
_cell_length_a 6.5202
_cell_length_b 6.5202
_cell_length_c 6.5202
_cell_angle_alpha 60.00
_cell_angle_beta 60.00
_cell_angle_gamma 60.00
_space_group_name_H-M_alt 'P 1'
_space_group_IT_number 1
loop_
_space_group_symop_operation_xyz
'x,y,z'
loop_
_atom_site_label
_atom_site_type_symbol
_atom_site_fract_x
_atom_site_fract_y
_atom_site_fract_z
Sr1 Sr 0.2500 0.2500 0.2500
Sr2 Sr 0.7500 0.7500 0.7500
Gd1 Gd 0.5000 0.5000 0.5000
Ba1 Ba 0.0000 0.0000 0.0000
# E in eV/atom: -4.66
# ΔH_f (0 K) in eV per atom: 0.182
# Symmetry: Fm-3m